(1)
# Sr2Bi2O5

A geometry-optimized Sr2Bi2O5 structure (PBE, Alexandria).

Cell and atoms, written as POSCAR:
```
Sr2Bi2O5
1.0
6.252 0.000 0.000
0.000 7.757 0.000
0.000 0.000 14.663
Sr Bi O
8 8 20
direct
0.750 0.123 0.552
0.750 0.626 0.566
0.250 0.877 0.448
0.250 0.623 0.948
0.750 0.377 0.052
0.750 0.874 0.066
0.250 0.374 0.434
0.250 0.126 0.934
0.750 0.369 0.810
0.250 0.869 0.690
0.750 0.882 0.817
0.750 0.131 0.310
0.750 0.618 0.317
0.250 0.118 0.183
0.250 0.382 0.683
0.250 0.631 0.190
0.508 0.633 0.414
0.992 0.633 0.414
0.492 0.367 0.586
0.509 0.118 0.408
0.008 0.133 0.086
0.991 0.118 0.408
0.491 0.618 0.092
0.250 0.372 0.244
0.508 0.867 0.914
0.509 0.382 0.908
0.750 0.628 0.756
0.992 0.867 0.914
0.250 0.128 0.744
0.491 0.882 0.592
0.991 0.382 0.908
0.009 0.618 0.092
0.009 0.882 0.592
0.008 0.367 0.586
0.750 0.872 0.256
0.492 0.133 0.086
```

Results
Crystal system: orthorhombic
Formation energy without anion corrections in kJ/mol of atoms: -190
SG: Pnma, No. 62

---

(2)
# CaPu2

A geometry-optimized CaPu2 structure (PBE, Alexandria).

Cell and atoms, written as POSCAR:
```
CaPu2
1.0
-1.206 -5.129 -3.733
-2.949 -5.180 2.485
-6.069 -1.392 -1.712
Ca Pu
2 4
direct
0.000 0.000 0.000
0.250 0.250 0.250
0.625 0.625 0.125
0.625 0.125 0.625
0.125 0.625 0.625
0.625 0.625 0.625
```

Results
Crystal system: cubic
Energy of formation from the pure elements in eV/atom: 0.35
SG: Fd-3m, No. 227

---

(3)
# Be2CrAuBr

A geometry-optimized Be2CrAuBr structure (PBE, Alexandria).

Cell and atoms, written as POSCAR:
```
Be2CrAuBr
1.0
4.545 0.000 0.000
0.000 4.376 0.000
0.000 0.000 4.545
Au Be Br Cr
1 2 1 1
direct
0.500 0.500 0.500
0.000 0.000 0.500
0.500 0.000 0.000
0.000 0.500 0.000
0.000 0.000 0.000
```

Results
Crystal system: tetragonal
Formation energy without anion corrections in kJ/mol of atoms: 111
SG: P4/mmm, No. 123

---

(4)
# NbNi2Ge

A geometry-optimized NbNi2Ge structure (PBE, Alexandria).

Cell and atoms, written as POSCAR:
```
NbNi2Ge
1.0
-2.708 -4.982 -2.591
2.867 -2.252 1.333
-3.806 0.159 8.451
Ge Ni Nb
4 8 4
direct
0.662 0.000 0.809
0.132 0.000 0.145
0.132 0.500 0.645
0.662 0.500 0.309
0.537 0.500 0.535
0.537 0.000 0.035
0.446 0.000 0.343
0.327 0.000 0.595
0.327 0.500 0.095
0.446 0.500 0.843
0.837 0.000 0.259
0.837 0.500 0.759
0.144 0.000 0.863
0.829 0.500 0.042
0.144 0.500 0.363
0.829 0.000 0.542
```

Results
Crystal system: monoclinic
Energy of formation from the pure elements in eV/atom: -0.32
SG: Cm, No. 8

---

We obtain DOS at the Fermi energy values of 0.0, 16.4, 3.5, 3.4 states/eV/f.u. for the records listed above, in that order.